No. 1
Density functional theory data (PBE-GGA) for an optimized crystal structure of CaPrErZn.

## Properties
Fermi-level density of states: 1.26 states/eV per atom
Energy of formation: -0.1321 eV per atom

a = 3.5873 Å, b = 3.5873 Å, c = 9.2480 Å
α = 90.00°, β = 90.00°, γ = 90.00°
Atoms (fractional coordinates):
Pr1 0.5000 0.5000 0.7974
Zn1 0.5000 0.5000 0.3402
Er1 0.0000 0.0000 0.5199
Ca1 0.0000 0.0000 0.1272



No. 2
Density functional theory data (PBE-GGA) for an optimized crystal structure of AgTeCl2.

## Properties
Formation energy without anion corrections: -0.058 eV/atom
Fermi-level density of states: 0.77 states/eV per atom
Energy above the most stable polymorph in this dataset: 283 meV per atom

a = 5.8859 Å, b = 5.8859 Å, c = 5.8859 Å
α = 147.87°, β = 109.23°, γ = 79.85°
Atoms (fractional coordinates):
Cl1 0.4823 0.4823 0.0000
Cl2 0.0177 0.0177 0.0000
Ag1 0.2500 0.7500 0.5000
Te1 0.7500 0.2500 0.5000



No. 3
Density functional theory data (PBE-GGA) for an optimized crystal structure of Ce2HfGe3Ir4.

## Properties
Fermi-level density of states: 0.99 states/eV per atom
Energy of formation: -0.8207 eV per atom

a = 4.1670 Å, b = 4.1670 Å, c = 10.9956 Å
α = 90.00°, β = 90.00°, γ = 90.00°
Last column: magnetic moment on the atom in μB.
Atoms (fractional coordinates):
Ce1 0.5000 0.0000 0.2345  0.50
Ce2 0.0000 0.5000 0.7655  0.50
Ir1 0.5000 0.0000 0.6484  -0.01
Ir2 0.0000 0.0000 0.0000  0.00
Ir3 0.0000 0.5000 0.3516  -0.01
Ir4 0.5000 0.5000 0.0000  0.00
Ge1 0.0000 0.5000 0.1264  0.00
Ge2 0.5000 0.0000 0.8736  0.00
Ge3 0.0000 0.0000 0.5000  0.00
Hf1 0.5000 0.5000 0.5000  0.03



No. 4
Density functional theory data (PBE-GGA) for an optimized crystal structure of Er3Tm2Th4.

## Properties
Fermi-level density of states: 1.70 states/eV per atom
Energy of formation: 0.1404 eV per atom
Energy above the most stable polymorph in this dataset: 100 meV per atom

a = 6.9201 Å, b = 9.6586 Å, c = 9.6587 Å
α = 64.71°, β = 79.74°, γ = 79.74°
Atoms (fractional coordinates):
Tm1 0.6654 0.5005 0.8481
Tm2 0.3346 0.4995 0.1519
Tm3 0.8346 0.1519 0.4995
Tm4 0.1654 0.8481 0.5005
Er1 0.7500 0.4972 0.5028
Er2 0.3303 0.8395 0.8350
Er3 0.8303 0.8350 0.8395
Er4 0.1697 0.1650 0.1605
Er5 0.2500 0.5028 0.4972
Er6 0.6697 0.1605 0.1650
Th1 0.8380 0.4966 0.1583
Th2 0.0013 0.1769 0.8242
Th3 0.3380 0.1583 0.4966
Th4 0.9987 0.8231 0.1758
Th5 0.6620 0.8417 0.5034
Th6 0.5013 0.8242 0.1769
Th7 0.1620 0.5034 0.8417
Th8 0.4987 0.1758 0.8231



Looking at VASP energy for the records above, in order, we have -13.1; -9.9; -79.3; -51.0 eV/f.u..